(1)
DFT (GGA+U) results for a relaxed Cr3Cd3GeO8 crystal. Values from VASP.

Quantum ESPRESSO input file:
```
&SYSTEM
  ibrav = 0, nat = 15, ntyp = 4
/
ATOMIC_SPECIES
O 16.00 O.upf
Cd 112.41 Cd.upf
Ge 72.64 Ge.upf
Cr 52.00 Cr.upf
ATOMIC_POSITIONS crystal
O 0.739 0.467 0.689
O 0.790 0.568 0.258
O 0.756 0.965 0.669
O 0.179 0.965 0.710
O 0.244 0.035 0.331
O 0.261 0.533 0.311
O 0.210 0.432 0.742
O 0.821 0.035 0.290
Cd 0.500 0.500 0.000
Cd 0.000 0.000 0.000
Cd 0.000 0.500 0.000
Ge 0.000 0.000 0.500
Cr 0.500 0.000 0.500
Cr 0.000 0.500 0.500
Cr 0.500 0.500 0.500
CELL_PARAMETERS angstrom
-5.419 -2.327 -2.976
5.660 -1.316 -2.471
-1.697 -2.627 5.802
```

Results
- Size of the total moment: 11.971 μB/f.u.
- Crystal system: triclinic
- Raw total energy: -5.992 eV per atom

***

(2)
DFT (GGA+U) results for a relaxed Cr2CdGeO6 crystal. Values from VASP.

Quantum ESPRESSO input file:
```
&SYSTEM
  ibrav = 0, nat = 10, ntyp = 4
/
ATOMIC_SPECIES
Cd 112.41 Cd.upf
O 16.00 O.upf
Ge 72.64 Ge.upf
Cr 52.00 Cr.upf
ATOMIC_POSITIONS crystal
Cd 0.794 0.794 0.618
O 0.931 0.596 0.223
O 0.250 0.931 0.223
O 0.367 0.715 0.758
O 0.161 0.367 0.758
O 0.715 0.161 0.758
O 0.596 0.250 0.223
Ge 0.318 0.318 0.045
Cr 0.519 0.519 0.443
Cr 0.011 0.011 0.967
CELL_PARAMETERS angstrom
5.203 0.000 0.000
2.601 4.506 0.000
2.602 1.502 4.674
```

Results
- Size of the total moment: 6.000 μB/f.u.
- Crystal system: trigonal
- Raw total energy: -6.679 eV per atom

***

Question: The lowest raw total energy belongs to which entry?
Answer: Cr2CdGeO6